[1]
{"formula": "SmTmZr2", "functional": "PBE", "state": "relaxed", "cell": [[3.275, 0.000, 0.000], [-1.637, 2.836, 0.000], [0.000, 0.000, 34.941]], "species": ["Sm", "Sm", "Sm", "Tm", "Tm", "Tm", "Zr", "Zr", "Zr", "Zr", "Zr", "Zr"], "frac_coords": [[0.000, 0.000, 0.000], [0.333, 0.667, 0.667], [0.667, 0.333, 0.333], [0.000, 0.000, 0.500], [0.333, 0.667, 0.167], [0.667, 0.333, 0.833], [0.000, 0.000, 0.090], [0.000, 0.000, 0.910], [0.333, 0.667, 0.576], [0.333, 0.667, 0.757], [0.667, 0.333, 0.243], [0.667, 0.333, 0.424]], "de_polymorph_mev_per_atom": 141, "ef_ev_per_fu": 1.1}



[2]
{"formula": "Ca3YSc3Te8", "functional": "PBE", "state": "relaxed", "cell": [[4.268, 2.464, 7.230], [-4.268, 2.464, 7.230], [0.000, -4.929, 7.230]], "species": ["Ca", "Ca", "Ca", "Y", "Sc", "Sc", "Sc", "Te", "Te", "Te", "Te", "Te", "Te", "Te", "Te"], "frac_coords": [[0.000, 0.500, 0.500], [0.500, 0.000, 0.500], [0.500, 0.500, 0.000], [0.500, 0.500, 0.500], [0.000, 0.000, 0.500], [0.000, 0.500, 0.000], [0.500, 0.000, 0.000], [0.232, 0.754, 0.754], [0.244, 0.244, 0.244], [0.246, 0.246, 0.768], [0.246, 0.768, 0.246], [0.754, 0.232, 0.754], [0.754, 0.754, 0.232], [0.756, 0.756, 0.756], [0.768, 0.246, 0.246]], "raw_formation_energy_ev_per_fu": -20.943}



Number 1: total DFT energy (no corrections) -6.300 eV/atom. Number 2: total DFT energy (no corrections) -5.169 eV/atom.